# 1
A relaxed ZnRuBr2 crystal. Source: the Alexandria database, functional PBE.

Properties
Its excess energy over the best structure of this formula in the dataset is 542 meV/atom. For the formation energy without anion corrections, the calculation gives 495 meV per atom.

Cell: 8.5221 8.5221 8.5221 Å, 24.04 24.04 24.04°
Last column: magnetic moment on the atom in μB.
Element x y z (fractional)
Zn 0.5000 0.5000 0.5000  -0.03
Br 0.0986 0.0986 0.0986  0.02
Br 0.9014 0.9014 0.9014  0.02
Ru 0.0000 0.0000 0.0000  1.66

=====

# 2
A relaxed ThInPd4 crystal. Source: the Alexandria database, functional PBE.

Properties
Its excess energy over the best structure of this formula in the dataset is 0 meV/atom. As for the formation energy: -0.679 eV/atom.

Cell: 5.4453 5.4453 5.4453 Å, 60.00 60.00 60.00°
Element x y z (fractional)
Pd 0.6245 0.1264 0.6245
Pd 0.6245 0.6245 0.1264
Pd 0.1264 0.6245 0.6245
Pd 0.6245 0.6245 0.6245
In 0.2500 0.2500 0.2500
Th 0.0000 0.0000 0.0000

=====

# 3
A relaxed EuTm2Mn crystal. Source: the Alexandria database, functional PBE.

Properties
As for the formation energy: 0.106 eV/atom.

Cell: 3.4892 3.4892 9.1152 Å, 90.00 90.00 90.00°
Last column: magnetic moment on the atom in μB.
Element x y z (fractional)
Mn 0.5000 0.5000 0.0000  3.10
Eu 0.5000 0.5000 0.5000  7.04
Tm 0.0000 0.0000 0.8181  -0.12
Tm 0.0000 0.0000 0.1819  -0.12

=====

# 4
A relaxed AsPdW crystal. Source: the Alexandria database, functional PBE.

Properties
As for the formation energy: 0.092 eV/atom.

Cell: 2.9571 2.9632 12.8402 Å, 90.00 90.00 119.93°
Element x y z (fractional)
W 0.4461 0.8921 0.0000
W 0.4425 0.8850 0.5000
As 0.1134 0.2269 0.8445
As 0.1134 0.2269 0.1555
Pd 0.7756 0.5512 0.3350
Pd 0.7756 0.5512 0.6650

=====

# 5
A relaxed Y2TlCr crystal. Source: the Alexandria database, functional PBE.

Properties
Its excess energy over the best structure of this formula in the dataset is 222 meV/atom. As for the formation energy: 0.222 eV/atom.

Cell: 5.2400 5.2400 6.2567 Å, 78.42 78.42 40.69°
Last column: magnetic moment on the atom in μB.
Element x y z (fractional)
Y 0.0023 0.0023 0.9910  -0.07
Y 0.4977 0.4977 0.5090  -0.07
Tl 0.2500 0.2500 0.2500  -0.01
Cr 0.7500 0.7500 0.7500  3.67

=====

# 6
A relaxed CeNd2ErTe5 crystal. Source: the Alexandria database, functional PBE.

Properties
For the formation energy without anion corrections, the calculation gives -841 meV per atom.

Cell: 5.5121 5.5121 11.8762 Å, 90.00 90.00 90.00°
Last column: magnetic moment on the atom in μB.
Element x y z (fractional)
Te 0.0000 0.0000 0.7473  -0.01
Te 0.5000 0.0000 0.5000  0.00
Te 0.0000 0.5000 0.5000  0.00
Te 0.5000 0.5000 0.0000  -0.01
Te 0.0000 0.0000 0.2527  -0.01
Ce 0.0000 0.0000 0.0000  1.18
Er 0.0000 0.0000 0.5000  0.02
Nd 0.5000 0.5000 0.6573  0.08
Nd 0.5000 0.5000 0.3427  0.08

=====

# 7
A relaxed La2AlCo crystal. Source: the Alexandria database, functional PBE.

Properties
Its excess energy over the best structure of this formula in the dataset is 267 meV/atom. As for the formation energy: 0.048 eV/atom.

Cell: 8.0821 8.0821 6.4819 Å, 51.43 51.43 90.00°
Element x y z (fractional)
Co 0.7500 0.2500 0.5000
Co 0.0000 0.0000 0.0000
Al 0.2500 0.7500 0.5000
Al 0.5000 0.5000 0.0000
La 0.0601 0.6250 0.2500
La 0.6899 0.1250 0.2500
La 0.3750 0.3101 0.7500
La 0.8750 0.9399 0.7500

=====

# 8
A relaxed LiYPb crystal. Source: the Alexandria database, functional PBE.

Properties
As for the formation energy: -0.530 eV/atom.

Cell: 4.6572 7.4362 12.7034 Å, 90.21 90.00 90.00°
Element x y z (fractional)
Pb 0.2500 0.7632 0.9026
Pb 0.2500 0.7249 0.2457
Pb 0.7500 0.2751 0.7543
Pb 0.7500 0.7672 0.5689
Pb 0.7500 0.2368 0.0974
Pb 0.2500 0.2328 0.4311
Y 0.7500 0.6683 0.0768
Y 0.2500 0.4943 0.6358
Y 0.2500 0.3317 0.9232
Y 0.7500 0.0034 0.3099
Y 0.2500 0.9966 0.6901
Y 0.7500 0.5057 0.3642
Li 0.2500 0.0001 0.0917
Li 0.7500 0.9999 0.9083
Li 0.7500 0.6599 0.7949
Li 0.2500 0.8348 0.4571
Li 0.7500 0.1652 0.5429
Li 0.2500 0.3401 0.2051

=====

# 9
A relaxed Ba3Ce2UP6 crystal. Source: the Alexandria database, functional PBE.

Properties
As for the formation energy: -1.145 eV/atom.

Cell: 7.3922 7.3922 7.6741 Å, 99.24 99.24 119.99°
Last column: magnetic moment on the atom in μB.
Element x y z (fractional)
P 0.2519 0.2519 0.7990  -0.04
P 0.9335 0.6142 0.8002  -0.04
P 0.3858 0.0665 0.1998  -0.04
P 0.7481 0.7481 0.2010  -0.04
P 0.6142 0.9335 0.8002  -0.04
P 0.0665 0.3858 0.1998  -0.04
Ce 0.6663 0.3337 0.0000  0.44
Ce 0.3337 0.6663 0.0000  0.44
U 0.0000 0.0000 0.0000  1.29
Ba 0.1688 0.8312 0.5000  0.00
Ba 0.5000 0.5000 0.5000  0.00
Ba 0.8312 0.1688 0.5000  0.00

=====

# 10
A relaxed Li2SmWN4 crystal. Source: the Alexandria database, functional PBE.

Properties
For the formation energy without anion corrections, the calculation gives -716 meV per atom.

Cell: 5.4074 5.1118 5.1118 Å, 83.17 58.07 58.07°
Last column: magnetic moment on the atom in μB.
Element x y z (fractional)
N 0.5912 0.5496 0.8591  0.09
N 0.4088 0.1409 0.4504  0.09
N 0.0000 0.4504 0.1409  0.09
N 0.0000 0.8591 0.5496  0.09
W 0.0000 0.5000 0.5000  -0.03
Sm 0.0000 0.0000 0.0000  -0.01
Li 0.5000 0.2499 0.7501  0.00
Li 0.5000 0.7501 0.2499  0.00

=====

# 11
A relaxed CaYVIr2 crystal. Source: the Alexandria database, functional PBE.

Properties
As for the formation energy: 1.253 eV/atom.

Cell: 5.0627 4.7188 5.0627 Å, 90.00 90.00 90.00°
Last column: magnetic moment on the atom in μB.
Element x y z (fractional)
Ir 0.0000 0.0000 0.5000  0.01
Ir 0.5000 0.0000 0.0000  0.01
V 0.0000 0.5000 0.0000  -0.14
Y 0.0000 0.0000 0.0000  -0.01
Ca 0.5000 0.5000 0.5000  0.00

=====

# 12
A relaxed Hf3TiSb crystal. Source: the Alexandria database, functional PBE.

Properties
Its excess energy over the best structure of this formula in the dataset is 1147 meV/atom. For the formation energy without anion corrections, the calculation gives 1045 meV per atom.

Cell: 5.1873 5.1873 5.1873 Å, 90.00 90.00 90.00°
Element x y z (fractional)
Hf 0.5000 0.0000 0.0000
Hf 0.0000 0.0000 0.5000
Hf 0.0000 0.5000 0.0000
Sb 0.0000 0.0000 0.0000
Ti 0.5000 0.5000 0.5000

=====

# 13
A relaxed VCo7Sn2As2 crystal. Source: the Alexandria database, functional PBE.

Properties
As for the formation energy: -0.043 eV/atom.

Cell: 3.5804 3.5804 14.2630 Å, 80.16 80.16 90.28°
Last column: magnetic moment on the atom in μB.
Element x y z (fractional)
Sn 0.2686 0.2686 0.5936  0.01
Sn 0.7314 0.7314 0.4064  0.01
Co 0.9157 0.4156 0.1241  0.57
Co 0.7732 0.7732 0.5966  -0.01
Co 0.4156 0.9157 0.1241  0.57
Co 0.5000 0.5000 0.0000  0.94
Co 0.0843 0.5844 0.8759  0.57
Co 0.2268 0.2268 0.4034  -0.01
Co 0.5844 0.0843 0.8759  0.57
As 0.6594 0.6594 0.7652  -0.03
As 0.3406 0.3406 0.2348  -0.03
V 0.0000 0.0000 0.0000  -0.50

=====

# 14
A relaxed AlInPdAu crystal. Source: the Alexandria database, functional PBE.

Properties
As for the formation energy: -0.346 eV/atom.

Cell: 4.6123 4.6123 4.6123 Å, 60.00 60.00 60.00°
Element x y z (fractional)
Pd 0.5000 0.5000 0.5000
Au 0.0000 0.0000 0.0000
In 0.7500 0.7500 0.7500
Al 0.2500 0.2500 0.2500

=====

# 15
A relaxed Tm2Ge3Rh crystal. Source: the Alexandria database, functional PBE.

Properties
As for the formation energy: -0.755 eV/atom.

Cell: 4.3586 5.5727 5.6972 Å, 74.56 67.51 66.98°
Element x y z (fractional)
Ge 0.8167 0.2439 0.1228
Ge 0.1625 0.7648 0.9102
Ge 0.8654 0.6078 0.6614
Tm 0.4392 0.8082 0.3134
Tm 0.5467 0.1931 0.7134
Rh 0.1695 0.3822 0.2789

=====

# 16
A relaxed ZrNi2SnH crystal. Source: the Alexandria database, functional PBE.

Properties
The calculation puts the electronic total energy at -5.723 eV/atom.

Cell: 4.1058 4.1058 4.0193 Å, 90.00 90.00 90.00°
Last column: magnetic moment on the atom in μB.
Element x y z (fractional)
Sn 0.5000 0.5000 0.5000  0.01
Zr 0.0000 0.0000 0.5000  0.06
Ni 0.5000 0.0000 0.0000  0.26
Ni 0.0000 0.5000 0.0000  0.26
H 0.0000 0.0000 0.0000  0.00

=====

# 17
A relaxed PaZnCu2 crystal. Source: the Alexandria database, functional PBE.

Properties
As for the formation energy: 0.178 eV/atom.

Cell: 4.8830 5.6309 5.6309 Å, 115.46 90.00 90.00°
Element x y z (fractional)
Zn 0.5000 0.0000 0.0000
Zn 0.0000 0.0000 0.0000
Cu 0.2500 0.5246 0.8992
Cu 0.7500 0.8992 0.5246
Cu 0.7500 0.4754 0.1008
Cu 0.2500 0.1008 0.4754
Pa 0.2500 0.5870 0.4130
Pa 0.7500 0.4130 0.5870

=====

# 18
A relaxed LaYIO2 crystal. Source: the Alexandria database, functional PBE.

Properties
Its excess energy over the best structure of this formula in the dataset is 0 meV/atom. For the formation energy without anion corrections, the calculation gives -1818 meV per atom.

Cell: 4.4700 4.4700 5.8521 Å, 90.00 90.00 90.00°
Element x y z (fractional)
Y 0.0000 0.0000 0.0000
I 0.0000 0.0000 0.5000
La 0.5000 0.5000 0.5000
O 0.0000 0.5000 0.0000
O 0.5000 0.0000 0.0000

=====

# 19
A relaxed Rb2Tl3ReS6 crystal. Source: the Alexandria database, functional PBE.

Properties
For the formation energy without anion corrections, the calculation gives -492 meV per atom.

Cell: 8.0300 8.0300 7.0505 Å, 100.93 100.93 124.15°
Last column: magnetic moment on the atom in μB.
Element x y z (fractional)
S 0.6767 0.9112 0.7749  -0.01
S 0.9112 0.6767 0.7749  -0.01
S 0.3233 0.0888 0.2251  -0.01
S 0.1968 0.1968 0.7989  0.00
S 0.0888 0.3233 0.2251  -0.01
S 0.8032 0.8032 0.2011  0.00
Tl 0.8631 0.1369 0.5000  -0.01
Tl 0.5000 0.5000 0.5000  -0.01
Tl 0.1369 0.8631 0.5000  -0.01
Rb 0.6776 0.3224 0.0000  0.00
Rb 0.3224 0.6776 0.0000  0.00
Re 0.0000 0.0000 0.0000  0.64

=====

# 20
A relaxed DyTmCu2Si2 crystal. Source: the Alexandria database, functional PBE.

Properties
For the formation energy without anion corrections, the calculation gives -671 meV per atom.

Cell: 4.1458 4.1458 7.3489 Å, 90.00 90.00 120.00°
Element x y z (fractional)
Si 0.6667 0.3333 0.7463
Si 0.3333 0.6667 0.2537
Tm 0.0000 0.0000 0.5000
Dy 0.0000 0.0000 0.0000
Cu 0.6667 0.3333 0.2569
Cu 0.3333 0.6667 0.7431

=====

| no. | ρ (g/cm³) |
| --- | --- |
| 1 | 6.00 |
| 2 | 11.24 |
| 3 | 8.15 |
| 4 | 12.44 |
| 5 | 6.59 |
| 6 | 5.68 |
| 7 | 6.05 |
| 8 | 6.86 |
| 9 | 5.39 |
| 10 | 6.76 |
| 11 | 7.75 |
| 12 | 8.39 |
| 13 | 7.96 |
| 14 | 10.66 |
| 15 | 9.38 |
| 16 | 8.05 |
| 17 | 10.06 |
| 18 | 5.49 |
| 19 | 5.61 |
| 20 | 7.81 |